Density functional theory data (PBE-GGA) for crystalline HoInIr at its relaxed geometry.

space group: P2_1/m
E_form: -0.6821 eV per atom

Cell: 7.3741 4.0931 12.8012 Å, 90.00 91.22 90.00°
Atoms (fractional coordinates):
Ho (0.0428, 0.2500, 0.1197)
Ho (0.1545, 0.2500, 0.4192)
Ho (0.4473, 0.7500, 0.7840)
Ho (0.5527, 0.2500, 0.2160)
Ho (0.8455, 0.7500, 0.5808)
Ho (0.9572, 0.7500, 0.8803)
In (0.1137, 0.2500, 0.7050)
In (0.3590, 0.7500, 0.0437)
In (0.4943, 0.7500, 0.4127)
In (0.5057, 0.2500, 0.5873)
In (0.6410, 0.2500, 0.9563)
In (0.8863, 0.7500, 0.2950)
Ir (0.2473, 0.7500, 0.5820)
Ir (0.2479, 0.2500, 0.9120)
Ir (0.2536, 0.7500, 0.2474)
Ir (0.7464, 0.2500, 0.7526)
Ir (0.7521, 0.7500, 0.0880)
Ir (0.7527, 0.2500, 0.4180)